# 1
A geometry-optimized Er12Tc3H5 structure, computed with PBE-GGA.

Values from the calculation:
Space group: Ia-3d
Raw total energy (Ry per atom): -0.39263
Crystal system: cubic

Cell and atoms, written as POSCAR:
```
Er12Tc3H5
1.0
12.955 0.000 0.000
-4.318 12.214 0.000
-4.318 -6.107 10.577
Er H Tc
48 20 12
Direct
0.188 0.094 0.717 Er
0.312 0.783 0.406 Er
0.717 0.594 0.188 Er
0.405 0.028 0.312 Er
0.812 0.905 0.028 Er
0.095 0.188 0.472 Er
0.406 0.123 0.595 Er
0.812 0.906 0.283 Er
0.283 0.877 0.972 Er
0.877 0.283 0.472 Er
0.095 0.906 0.123 Er
0.877 0.594 0.905 Er
0.595 0.623 0.406 Er
0.094 0.188 0.217 Er
0.528 0.217 0.123 Er
0.717 0.123 0.028 Er
0.217 0.528 0.623 Er
0.405 0.377 0.594 Er
0.783 0.312 0.906 Er
0.377 0.405 0.094 Er
0.972 0.377 0.283 Er
0.283 0.406 0.812 Er
0.472 0.688 0.095 Er
0.594 0.717 0.688 Er
0.406 0.283 0.312 Er
0.688 0.472 0.595 Er
0.595 0.972 0.688 Er
0.623 0.595 0.906 Er
0.594 0.877 0.405 Er
0.905 0.812 0.528 Er
0.905 0.094 0.877 Er
0.688 0.217 0.594 Er
0.123 0.406 0.095 Er
0.094 0.905 0.377 Er
0.312 0.528 0.405 Er
0.377 0.972 0.783 Er
0.028 0.405 0.812 Er
0.623 0.028 0.217 Er
0.472 0.783 0.877 Er
0.188 0.095 0.972 Er
0.906 0.812 0.783 Er
0.123 0.717 0.528 Er
0.217 0.688 0.094 Er
0.906 0.095 0.623 Er
0.528 0.312 0.905 Er
0.972 0.595 0.188 Er
0.783 0.472 0.377 Er
0.028 0.623 0.717 Er
0.500 0.500 0.500 H
0.250 0.375 0.625 H
0.500 0.500 0.000 H
0.125 0.375 0.250 H
0.625 0.750 0.875 H
0.750 0.625 0.375 H
0.875 0.625 0.750 H
0.000 0.000 0.500 H
0.750 0.125 0.875 H
0.375 0.125 0.750 H
0.250 0.875 0.125 H
0.875 0.250 0.625 H
0.375 0.250 0.125 H
0.125 0.750 0.375 H
0.000 0.500 0.500 H
0.625 0.875 0.250 H
0.500 0.000 0.500 H
0.000 0.500 0.000 H
0.000 0.000 0.000 H
0.500 0.000 0.000 H
0.625 0.375 0.750 Tc
0.125 0.250 0.875 Tc
0.875 0.750 0.125 Tc
0.375 0.750 0.625 Tc
0.250 0.625 0.875 Tc
0.750 0.375 0.125 Tc
0.125 0.875 0.750 Tc
0.875 0.125 0.250 Tc
0.625 0.250 0.375 Tc
0.250 0.125 0.375 Tc
0.750 0.875 0.625 Tc
0.375 0.625 0.250 Tc
```

---

# 2
A geometry-optimized HoPuRu4 structure, computed with PBE-GGA.

Values from the calculation:
Space group: F-43m
Crystal system: cubic
Energy of formation (meV per atom): -221

Cell and atoms, written as POSCAR:
```
HoPuRu4
1.0
5.323 0.000 0.000
2.661 4.609 0.000
2.661 1.536 4.346
Ru Ho Pu
4 1 1
Direct
0.625 0.625 0.625 Ru
0.125 0.625 0.625 Ru
0.625 0.625 0.125 Ru
0.625 0.125 0.625 Ru
0.250 0.250 0.250 Ho
0.000 0.000 0.000 Pu
```

---

# 3
A geometry-optimized La3SmHo6 structure, computed with PBE-GGA.

Values from the calculation:
Space group: Cmc2_1
Crystal system: orthorhombic
Energy of formation (meV per atom): 223

Cell and atoms, written as POSCAR:
```
La3SmHo6
1.0
6.626 0.000 0.000
0.000 10.143 0.619
0.000 -1.660 10.026
La Ho Sm
6 12 2
Direct
0.950 0.746 0.862 La
0.672 0.617 0.383 La
0.450 0.254 0.138 La
0.172 0.383 0.617 La
0.450 0.862 0.746 La
0.950 0.138 0.254 La
0.165 0.465 0.297 Ho
0.262 0.972 0.028 Ho
0.569 0.227 0.773 Ho
0.338 0.036 0.450 Ho
0.665 0.535 0.703 Ho
0.069 0.773 0.227 Ho
0.665 0.297 0.465 Ho
0.838 0.450 0.036 Ho
0.165 0.703 0.535 Ho
0.838 0.964 0.550 Ho
0.762 0.028 0.972 Ho
0.338 0.550 0.964 Ho
0.576 0.823 0.177 Sm
0.076 0.177 0.823 Sm
```